Here is a relaxed structure of ThB4Ir from OQMD via LeMat-Bulk. Energies are from PBE.

The magnetic moment comes out at 0.01 μB/cell. The calculation puts the volume at 11.606 Å³ per atom. For the offset from the most stable computed form, the calculation gives 90.1 meV per atom.

The space group is Immm (No. 71) and the conventional cell measures 3.184, 5.232 and 8.359 Å, with angles of 90.00, 90.00 and 90.00 degrees. The inequivalent atoms are Th at (0.000, 0.000, 0.000), B at (0.000, 0.322, 0.259) and Ir at (0.000, 0.000, 0.500).

Here is a relaxed structure of Sn2Pt from OQMD via LeMat-Bulk. Energies are from PBE.

The magnetic moment comes out at 0.00 μB/cell. As for the calculated total energy: -61.7 eV/cell. The calculation puts the volume at 23.113 Å³ per atom.

The space group is Fm-3m (No. 225) and the conventional cell measures 6.521, 6.521 and 6.521 Å, with angles of 90.00, 90.00 and 90.00 degrees. The inequivalent atoms are Sn at (0.250, 0.250, 0.250) and Pt at (0.000, 0.000, 0.000).

Here is a relaxed structure of ThTc from OQMD via LeMat-Bulk. Energies are from PBE.

The magnetic moment comes out at 0.00 μB/cell. The energy of formation is 0.920 eV/atom. The calculation puts the volume at 27.752 Å³ per atom.

The space group is F-43m (No. 216) and the conventional cell measures 6.055, 6.055 and 6.055 Å, with angles of 90.00, 90.00 and 90.00 degrees. The inequivalent atoms are Th at (0.000, 0.000, 0.000) and Tc at (0.250, 0.250, 0.250).

Here is a relaxed structure of SrAgNO from OQMD via LeMat-Bulk. Energies are from PBE.

The calculation puts the volume at 15.199 Å³ per atom. For the offset from the most stable computed form, the calculation gives 249.2 meV per atom.

The space group is P4/nmm (No. 129, origin choice 2) and the conventional cell measures 5.072, 5.072 and 4.726 Å, with angles of 90.00, 90.00 and 90.00 degrees. The inequivalent atoms are Sr at (0.250, 0.750, 0.000), Ag at (0.250, 0.250, 0.499), N at (0.250, 0.250, 0.001) and O at (0.250, 0.750, 0.500).

Here is a relaxed structure of LaCuSnSeS2 from OQMD via LeMat-Bulk. Energies are from PBE.

The magnetic moment comes out at 0.01 μB/cell. As for the calculated total energy: -122.5 eV/cell. The calculation puts the volume at 24.509 Å³ per atom.

The space group is Cmcm (No. 63) and the conventional cell measures 4.034, 13.125 and 11.110 Å, with angles of 90.00, 90.00 and 90.00 degrees. The inequivalent atoms are La at (0.000, 0.000, 0.000), Cu at (0.000, 0.471, 0.250), Sn at (0.000, 0.227, 0.750), Se at (0.000, 0.089, 0.250) and S at (0.000, 0.362, 0.085).

Here is a relaxed structure of TbErNp from OQMD via LeMat-Bulk. Energies are from PBE.

The magnetic moment comes out at 20.27 μB/cell. The energy of formation is 1.162 eV/atom. The calculation puts the volume at 34.873 Å³ per atom.

The space group is F-43m (No. 216) and the conventional cell measures 7.480, 7.480 and 7.480 Å, with angles of 90.00, 90.00 and 90.00 degrees. The inequivalent atoms are Tb at (0.000, 0.000, 0.000), Er at (0.250, 0.250, 0.750) and Np at (0.000, 0.000, 0.500).

Here is a relaxed structure of TaInCuTe3 from OQMD via LeMat-Bulk. Energies are from PBE.

The magnetic moment comes out at 2.14 μB/cell. As for the calculated total energy: -114.3 eV/cell. The calculation puts the volume at 25.970 Å³ per atom.

The space group is Cmcm (No. 63) and the conventional cell measures 3.879, 15.371 and 10.454 Å, with angles of 90.00, 90.00 and 90.00 degrees. The inequivalent atoms are Ta at (0.000, 0.000, 0.000), In at (0.000, 0.244, 0.250), Cu at (0.000, 0.464, 0.750), Te at (0.000, 0.076, 0.750) and Te at (0.000, 0.368, 0.547).

Here is a relaxed structure of NaHfTe3Au from OQMD via LeMat-Bulk. Energies are from PBE.

The magnetic moment comes out at 0.03 μB/cell. The calculation puts the volume at 27.886 Å³ per atom. For the offset from the most stable computed form, the calculation gives 92.3 meV per atom.

The space group is C2/m (No. 12) and the conventional cell measures 19.097, 3.981 and 8.881 Å, with angles of 90.00, 97.60 and 90.00 degrees. The inequivalent atoms are Na at (0.122, 0.000, 0.091), Hf at (0.158, 0.000, 0.602), Te at (0.000, 0.000, 0.500), Te at (0.000, 0.500, 0.000), Te at (0.181, 0.500, 0.375), Te at (0.196, 0.500, 0.836) and Au at (0.055, 0.500, 0.720).